Entry from OQMD via LeMat-Bulk: crystalline TaInCoAu at its relaxed geometry (PBE-GGA).

Structure (CIF):
```
data_TaInCoAu
_chemical_formula_sum 'Ta4 In4 Co4 Au4'
_cell_length_a 6.4546
_cell_length_b 6.4546
_cell_length_c 6.4546
_cell_angle_alpha 90.00
_cell_angle_beta 90.00
_cell_angle_gamma 90.00
_space_group_name_H-M_alt 'F -4 3 m'
_space_group_IT_number 216
_space_group_name_Hall 'F -4 2 3'
loop_
_atom_site_label
_atom_site_type_symbol
_atom_site_fract_x
_atom_site_fract_y
_atom_site_fract_z
Ta1 Ta 0.0000 0.0000 0.0000
In1 In 0.0000 0.0000 0.5000
Co1 Co 0.2500 0.2500 0.7500
Au1 Au 0.2500 0.2500 0.2500
```

Results
E above lowest polymorph   0.0 kJ/mol of atoms


Entry from OQMD via LeMat-Bulk: crystalline InCoTe3Au at its relaxed geometry (PBE-GGA).

Structure (CIF):
```
data_InCoTe3Au
_chemical_formula_sum 'In4 Co4 Te12 Au4'
_cell_length_a 3.7682
_cell_length_b 14.3847
_cell_length_c 11.0082
_cell_angle_alpha 90.00
_cell_angle_beta 90.00
_cell_angle_gamma 90.00
_space_group_name_H-M_alt 'C m c m'
_space_group_IT_number 63
_space_group_name_Hall '-C 2c 2'
loop_
_atom_site_label
_atom_site_type_symbol
_atom_site_fract_x
_atom_site_fract_y
_atom_site_fract_z
In1 In 0.0000 0.1994 0.2500
Co1 Co 0.0000 0.5000 0.0000
Te1 Te 0.0000 0.1184 0.5059
Te2 Te 0.0000 0.4883 0.7500
Au1 Au 0.0000 0.1552 0.7500
```


no.,E (eV per atom)
1,-6.106
2,-3.861